Computed, not measured: a relaxed MnSnCF2 crystal at the PBE with a Hubbard U level of DFT.

a = 4.321 Å, b = 4.321 Å, c = 4.071 Å
α = 90.00°, β = 90.00°, γ = 90.00°
Atoms (fractional coordinates):
1 Mn 0.000 0.000 0.000
2 Sn 0.500 0.500 0.000
3 C 0.000 0.000 0.500
4 F 0.000 0.500 0.500
5 F 0.500 0.000 0.500

Output
Space group: P4/mmm
E_tot, eV per cell: -23.62